Arrangement i

Compound: Mg3PtF
Source: Alexandria
Functional: PBE
Structure: optimized geometry

Cell lengths 4.2674, 4.2674, 4.2674 Å; angles 90.00, 90.00, 90.00 degrees
Last column: nearest neighbours and their distance in Å.
Atoms (fractional coordinates):
Mg 0.0000 0.0000 0.5000  2 F 2.13
Mg 0.0000 0.5000 0.0000  2 F 2.13
Mg 0.5000 0.0000 0.0000  2 F 2.13
Pt 0.5000 0.5000 0.5000  12 Mg 3.02
F 0.0000 0.0000 0.0000  6 Mg 2.13

Arrangement ii

Compound: Mg3PtF
Source: Alexandria
Functional: PBE
Structure: optimized geometry

Cell lengths 5.0005, 5.0005, 5.0005 Å; angles 90.00, 90.00, 90.00 degrees
Last column: nearest neighbours and their distance in Å.
Atoms (fractional coordinates):
Mg 0.0000 0.0000 0.5000  2 Pt 2.50
Mg 0.0000 0.5000 0.0000  2 Pt 2.50
Mg 0.5000 0.0000 0.0000  2 Pt 2.50
Pt 0.0000 0.0000 0.0000  6 Mg 2.50
F 0.5000 0.5000 0.5000  12 Mg 3.54

Energies relative to the minimum, eV/atom: arrangement i 0.000; arrangement ii 0.528

Arrangement i

Compound: Mg2PtF
Source: Alexandria
Functional: PBE
Structure: optimized geometry

Cell lengths 5.4752, 5.4752, 5.4752 Å; angles 110.92, 110.92, 106.61 degrees
Last column: nearest neighbours and their distance in Å.
Atoms (fractional coordinates):
Mg 0.0546 0.6250 0.9296  2 F 2.08
Mg 0.3750 0.3046 0.4296  2 F 2.08
Mg 0.6954 0.1250 0.0704  2 F 2.08
Mg 0.8750 0.9454 0.5704  2 F 2.08
Pt 0.2500 0.7500 0.5000  4 Mg 2.65
Pt 0.5000 0.5000 0.0000  4 Mg 2.65
F 0.0000 0.0000 0.0000  4 Mg 2.08
F 0.7500 0.2500 0.5000  4 Mg 2.08

Arrangement ii

Compound: Mg2PtF
Source: Alexandria
Functional: PBE
Structure: optimized geometry

Cell lengths 4.4819, 4.4819, 4.4819 Å; angles 60.00, 60.00, 60.00 degrees
Last column: nearest neighbours and their distance in Å.
Atoms (fractional coordinates):
Mg 0.2500 0.2500 0.2500  4 F 2.74, 4 Pt 2.74
Mg 0.7500 0.7500 0.7500  4 F 2.74, 4 Pt 2.74
Pt 0.0000 0.0000 0.0000  8 Mg 2.74
F 0.5000 0.5000 0.5000  8 Mg 2.74

Energies relative to the minimum, eV/atom: arrangement i 0.000; arrangement ii 0.333